First-principles (meta-GGA SCAN) data for a crystal of GaMoIr2Au relaxed with PBEsol, as listed in Alexandria via LeMat-Bulk.

## Properties
* uncorrected energy: -251.70 eV per formula unit
* formation energy from the elements: 2.18 eV/atom
* M_tot: 3.9 μB/f.u.
* space group: P4/mmm (123)

Unit cell a=4.8552 b=4.8552 c=4.6909 alpha=90.00 beta=90.00 gamma=90.00
Positions (direct):
Ga 0.0000 0.0000 0.0000
Mo 0.5000 0.5000 0.0000
Ir 0.0000 0.5000 0.5000
Ir 0.5000 0.0000 0.5000
Au 0.5000 0.5000 0.5000